Below is ScHI2O after structural relaxation, with properties calculated at the PBE level.

Summary:
Density of states at the Fermi level: 3.3 states/eV/f.u.
Offset from the most stable computed form: 0 meV per atom

The structure in CIF format:
```
data_ScHI2O
_chemical_formula_sum 'Sc1 H1 I2 O1'
_symmetry_space_group_name_H-M 'P 4/m m m'
_symmetry_Int_Tables_number 123
_symmetry_space_group_name_Hall '-P 4 2'
_cell_length_a 6.160
_cell_length_b 6.160
_cell_length_c 3.805
_cell_angle_alpha 90.00
_cell_angle_beta 90.00
_cell_angle_gamma 90.00
loop_
_atom_site_label
_atom_site_type_symbol
_atom_site_fract_x
_atom_site_fract_y
_atom_site_fract_z
_atom_site_occupancy
Sc1 Sc 0.000 0.000 0.000 1
H1 H 0.500 0.500 0.500 1
I1 I 0.000 0.500 0.000 1
O1 O 0.000 0.000 0.500 1
```


Below is SrH2I2O7 after structural relaxation, with properties calculated at the PBE level.

Summary:
Density of states at the Fermi level: 0.0 states/eV/f.u.
E_tot: -4.904 eV/atom

The structure in CIF format:
```
data_SrH2I2O7
_chemical_formula_sum 'Sr4 H8 I8 O28'
_symmetry_space_group_name_H-M 'C 1 2/c 1'
_symmetry_Int_Tables_number 15
_cell_length_a 13.056
_cell_length_b 7.912
_cell_length_c 8.963
_cell_angle_alpha 90.00
_cell_angle_beta 129.09
_cell_angle_gamma 90.00
loop_
_symmetry_equiv_pos_as_xyz
'x,y,z'
'-x,-y,-z'
'-x,y,-z+1/2'
'x,-y,z+1/2'
'x+1/2,y+1/2,z'
'-x+1/2,-y+1/2,-z'
'-x+1/2,y+1/2,-z+1/2'
'x+1/2,-y+1/2,z+1/2'
loop_
_atom_site_label
_atom_site_type_symbol
_atom_site_fract_x
_atom_site_fract_y
_atom_site_fract_z
_atom_site_occupancy
Sr1 Sr 0.000 0.171 0.250 1
H1 H 0.025 0.220 0.688 1
I1 I 0.183 0.481 0.170 1
O1 O 0.000 0.147 0.750 1
O2 O 0.073 0.331 0.566 1
O3 O 0.157 0.086 0.182 1
O4 O 0.171 0.425 0.356 1
```


Below is Sr2HIO6 after structural relaxation, with properties calculated at the PBE level.

Summary:
Density of states at the Fermi level: 0.0 states/eV/f.u.
E_tot: -5.403 eV/atom

The structure in CIF format:
```
data_Sr2HIO6
_chemical_formula_sum 'Sr2 H1 I1 O6'
_symmetry_space_group_name_H-M 'P 1'
_symmetry_Int_Tables_number 1
_cell_length_a 5.390
_cell_length_b 5.826
_cell_length_c 5.859
_cell_angle_alpha 62.29
_cell_angle_beta 64.61
_cell_angle_gamma 62.63
loop_
_symmetry_equiv_pos_as_xyz
'x,y,z'
loop_
_atom_site_label
_atom_site_type_symbol
_atom_site_fract_x
_atom_site_fract_y
_atom_site_fract_z
_atom_site_occupancy
Sr1 Sr 0.000 0.000 0.000 1
Sr2 Sr 0.475 0.554 0.519 1
H1 H 0.855 0.548 0.962 1
I1 I 0.237 0.273 0.259 1
O1 O 0.028 0.564 0.400 1
O2 O 0.051 0.548 0.930 1
O3 O 0.394 0.044 0.547 1
O4 O 0.441 0.004 0.087 1
O5 O 0.529 0.440 0.028 1
O6 O 0.915 0.157 0.409 1
```


Below is SrHI2O6 after structural relaxation, with properties calculated at the PBE level.

Summary:
Density of states at the Fermi level: 0.0 states/eV/f.u.
E_tot: -4.515 eV/atom

The structure in CIF format:
```
data_SrHI2O6
_chemical_formula_sum 'Sr4 H4 I8 O24'
_symmetry_space_group_name_H-M 'C 1 2/c 1'
_symmetry_Int_Tables_number 15
_cell_length_a 12.266
_cell_length_b 8.322
_cell_length_c 8.037
_cell_angle_alpha 90.00
_cell_angle_beta 127.39
_cell_angle_gamma 90.00
loop_
_symmetry_equiv_pos_as_xyz
'x,y,z'
'-x,-y,-z'
'-x,y,-z+1/2'
'x,-y,z+1/2'
'x+1/2,y+1/2,z'
'-x+1/2,-y+1/2,-z'
'-x+1/2,y+1/2,-z+1/2'
'x+1/2,-y+1/2,z+1/2'
loop_
_atom_site_label
_atom_site_type_symbol
_atom_site_fract_x
_atom_site_fract_y
_atom_site_fract_z
_atom_site_occupancy
Sr1 Sr 0.000 0.158 0.250 1
H1 H 0.000 0.197 0.750 1
I1 I 0.184 0.472 0.711 1
O1 O 0.088 0.342 0.081 1
O2 O 0.138 0.043 0.633 1
O3 O 0.182 0.391 0.494 1
```